The following is a PBE calculation of crystalline Pm4PrSe5 at its relaxed geometry, from the Alexandria database.

a b c (Å): 4.223 4.223 17.271
angles (deg): 82.98 82.98 60.00
Fractional positions:
Pm: 0.901 0.901 0.298
Pm: 0.300 0.300 0.099
Pm: 0.700 0.700 0.901
Pm: 0.099 0.099 0.702
Pr: 0.500 0.500 0.500
Se: 0.399 0.399 0.802
Se: 0.000 0.000 0.000
Se: 0.601 0.601 0.198
Se: 0.799 0.799 0.603
Se: 0.201 0.201 0.397

* relative energy among the computed polymorphs: 0.0 meV/atom
* uncorrected formation energy: -1836 meV per atom
* mass density: 7.02 g cm⁻³